Compound: Sc4InNiRu2
Source: Alexandria via LeMat-Bulk
Functional: PBE
Structure: optimized geometry

abc: 4.649 4.649 8.068
angles: 73.25 73.25 60.00
Element x y z (fractional)
Ru: 0.251 0.251 0.248
Ru: 0.749 0.749 0.752
Sc: 0.617 0.617 0.149
Sc: 0.383 0.383 0.851
Sc: 0.869 0.869 0.392
Sc: 0.131 0.131 0.608
In: 0.000 0.000 0.000
Ni: 0.500 0.500 0.500

## Properties
DOS at the Fermi energy (states/eV/cell): 4.412
Formation enthalpy at 0 K (eV/atom): -0.508

***

Compound: Sc4InNi2Ru
Source: Alexandria via LeMat-Bulk
Functional: PBE
Structure: optimized geometry

abc: 4.640 4.640 8.137
angles: 73.43 73.43 60.00
Element x y z (fractional)
Sc: 0.385 0.385 0.845
Sc: 0.131 0.131 0.606
Sc: 0.869 0.869 0.394
Sc: 0.615 0.615 0.155
In: 0.000 0.000 0.000
Ru: 0.500 0.500 0.500
Ni: 0.751 0.751 0.748
Ni: 0.249 0.249 0.252

## Properties
DOS at the Fermi energy (states/eV/cell): 5.131
Formation enthalpy at 0 K (eV/atom): -0.478

***

Compound: InSiNi2Ru
Source: Alexandria via LeMat-Bulk
Functional: PBE
Structure: optimized geometry

abc: 4.230 4.432 4.230
angles: 90.00 90.00 90.00
Element x y z (fractional)
In: 0.500 0.500 0.500
Si: 0.000 0.000 0.000
Ru: 0.000 0.500 0.000
Ni: 0.000 0.000 0.500
Ni: 0.500 0.000 0.000

## Properties
DOS at the Fermi energy (states/eV/cell): 4.797
Formation energy from raw total energies (eV/atom): 0.165

***

Compound: InNiSnRu
Source: Alexandria via LeMat-Bulk
Functional: PBE
Structure: optimized geometry

abc: 4.542 4.542 4.542
angles: 60.00 60.00 60.00
Element x y z (fractional)
In: 0.000 0.000 0.000
Sn: 0.500 0.500 0.500
Ni: 0.250 0.250 0.250
Ru: 0.750 0.750 0.750

## Properties
DOS at the Fermi energy (states/eV/cell): 3.352
Formation enthalpy at 0 K (eV/atom): 0.010

***

Compound: InNiSn2Ru
Source: Alexandria via LeMat-Bulk
Functional: PBE
Structure: optimized geometry

abc: 5.449 4.628 5.449
angles: 90.00 90.00 90.00
Element x y z (fractional)
Ru: 0.500 0.500 0.500
Sn: 0.000 0.000 0.500
Sn: 0.500 0.000 0.000
Ni: 0.000 0.500 0.000
In: 0.000 0.000 0.000

## Properties
DOS at the Fermi energy (states/eV/cell): 5.773
Formation enthalpy at 0 K (eV/atom): 1.452

***

Compound: SrInNiRu2
Source: Alexandria via LeMat-Bulk
Functional: PBE
Structure: optimized geometry

abc: 4.731 4.794 4.731
angles: 90.00 90.00 90.00
Element x y z (fractional)
Ni: 0.000 0.000 0.000
Sr: 0.500 0.500 0.500
Ru: 0.000 0.000 0.500
Ru: 0.500 0.000 0.000
In: 0.000 0.500 0.000

## Properties
DOS at the Fermi energy (states/eV/cell): 4.407
Formation enthalpy at 0 K (eV/atom): 0.658